# Li2TlPt | Alexandria via LeMat-Bulk | PBE | relaxed
# - magnetization (μB/cell) = 0.00
# - energy of formation from the pure elements (kJ/mol of formula units) = -109
data_Li2TlPt
_symmetry_space_group_name_H-M 'P 4 m m'
_symmetry_Int_Tables_number 99
_symmetry_space_group_name_Hall 'P 4 -2'
_cell_length_a 3.418
_cell_length_b 3.418
_cell_length_c 5.912
_cell_angle_alpha 90.00
_cell_angle_beta 90.00
_cell_angle_gamma 90.00
loop_
_atom_site_label
_atom_site_fract_x
_atom_site_fract_y
_atom_site_fract_z
_atom_site_occupancy
Li1 0.000 0.000 0.000 1
Li2 0.500 0.500 0.252 1
Tl1 0.500 0.500 0.727 1
Pt1 0.000 0.000 0.450 1

# NaAlAsCl2 | Alexandria via LeMat-Bulk | PBE | relaxed
# - raw formation energy (eV per atom) = 0.15
# - offset from the most stable computed form (meV/atom) = 373
# - magnetization (μB/cell) = 0.40
data_NaAlAsCl2
_symmetry_space_group_name_H-M 'P 4/m m m'
_symmetry_Int_Tables_number 123
_symmetry_space_group_name_Hall '-P 4 2'
_cell_length_a 4.834
_cell_length_b 4.834
_cell_length_c 5.856
_cell_angle_alpha 90.00
_cell_angle_beta 90.00
_cell_angle_gamma 90.00
loop_
_atom_site_label
_atom_site_fract_x
_atom_site_fract_y
_atom_site_fract_z
_atom_site_occupancy
Na1 0.000 0.000 0.000 1
Al1 0.000 0.000 0.500 1
As1 0.500 0.500 0.500 1
Cl1 0.000 0.500 0.000 1

# SrPrBr | Alexandria via LeMat-Bulk | PBE | relaxed
# - raw formation energy (eV per atom) = -0.83
# - magnetization (μB/cell) = 0.09
data_SrPrBr
_symmetry_space_group_name_H-M 'P -6 m 2'
_symmetry_Int_Tables_number 187
_symmetry_space_group_name_Hall 'P -6 2'
_cell_length_a 3.9475
_cell_length_b 3.9475
_cell_length_c 15.6175
_cell_angle_alpha 90.00
_cell_angle_beta 90.00
_cell_angle_gamma 120.00
loop_
_atom_site_label
_atom_site_fract_x
_atom_site_fract_y
_atom_site_fract_z
_atom_site_occupancy
Sr1 0.0000 0.0000 0.1996 1
Pr1 0.0000 0.0000 0.5000 1
Pr2 0.6667 0.3333 0.0000 1
Br1 0.6667 0.3333 0.3589 1

# Gd2YF | Alexandria via LeMat-Bulk | PBE | relaxed
# - raw formation energy (eV per atom) = -1.14
# - magnetization (μB/cell) = 42.88
data_Gd2YF
_symmetry_space_group_name_H-M 'R -3 m'
_symmetry_Int_Tables_number 166
_symmetry_space_group_name_Hall '-R 3 2"'
_cell_length_a 3.7339
_cell_length_b 3.7339
_cell_length_c 25.7444
_cell_angle_alpha 90.00
_cell_angle_beta 90.00
_cell_angle_gamma 120.00
loop_
_atom_site_label
_atom_site_fract_x
_atom_site_fract_y
_atom_site_fract_z
_atom_site_occupancy
Gd1 0.0000 0.0000 0.2228 1
Y1 0.0000 0.0000 0.0000 1
F1 0.0000 0.0000 0.5000 1

# CdTe2Pd2 | Alexandria via LeMat-Bulk | PBE | relaxed
# - raw formation energy (eV per atom) = -0.06
# - offset from the most stable computed form (meV/atom) = 118
# - magnetization (μB/cell) = 0.00
data_CdTe2Pd2
_symmetry_space_group_name_H-M 'P 4/m b m'
_symmetry_Int_Tables_number 127
_symmetry_space_group_name_Hall '-P 4 2ab'
_cell_length_a 8.284
_cell_length_b 8.284
_cell_length_c 3.225
_cell_angle_alpha 90.00
_cell_angle_beta 90.00
_cell_angle_gamma 90.00
loop_
_atom_site_label
_atom_site_fract_x
_atom_site_fract_y
_atom_site_fract_z
_atom_site_occupancy
Cd1 0.000 0.000 0.000 1
Te1 0.168 0.332 0.000 1
Pd1 0.124 0.624 0.500 1

# InTe2RuO | Alexandria via LeMat-Bulk | PBE | relaxed
# - raw formation energy (eV per atom) = 0.24
# - magnetization (μB/cell) = 0.00
data_InTe2RuO
_symmetry_space_group_name_H-M 'P 4/m m m'
_symmetry_Int_Tables_number 123
_symmetry_space_group_name_Hall '-P 4 2'
_cell_length_a 5.739
_cell_length_b 5.739
_cell_length_c 3.625
_cell_angle_alpha 90.00
_cell_angle_beta 90.00
_cell_angle_gamma 90.00
loop_
_atom_site_label
_atom_site_fract_x
_atom_site_fract_y
_atom_site_fract_z
_atom_site_occupancy
In1 0.000 0.000 0.000 1
Te1 0.000 0.500 0.500 1
Ru1 0.500 0.500 0.000 1
O1 0.500 0.500 0.500 1

# Ga4BiPd15 | Alexandria via LeMat-Bulk | PBE | relaxed
# - magnetization (μB/cell) = 0.00
# - energy of formation from the pure elements (kJ/mol of formula units) = -795
data_Ga4BiPd15
_symmetry_space_group_name_H-M 'P 4/m m m'
_symmetry_Int_Tables_number 123
_symmetry_space_group_name_Hall '-P 4 2'
_cell_length_a 3.981
_cell_length_b 3.981
_cell_length_c 19.699
_cell_angle_alpha 90.00
_cell_angle_beta 90.00
_cell_angle_gamma 90.00
loop_
_atom_site_label
_atom_site_fract_x
_atom_site_fract_y
_atom_site_fract_z
_atom_site_occupancy
Ga1 0.000 0.000 0.097 1
Ga2 0.000 0.000 0.290 1
Bi1 0.000 0.000 0.500 1
Pd1 0.000 0.500 0.000 1
Pd2 0.000 0.500 0.195 1
Pd3 0.000 0.500 0.391 1
Pd4 0.500 0.500 0.097 1
Pd5 0.500 0.500 0.294 1
Pd6 0.500 0.500 0.500 1

# Ho2ZnOs | Alexandria via LeMat-Bulk | PBE | relaxed
# - offset from the most stable computed form (meV/atom) = 0
# - magnetization (μB/cell) = 0.00
# - energy of formation from the pure elements (kJ/mol of formula units) = -123
data_Ho2ZnOs
_symmetry_space_group_name_H-M 'P 4/m m m'
_symmetry_Int_Tables_number 123
_symmetry_space_group_name_Hall '-P 4 2'
_cell_length_a 3.431
_cell_length_b 3.431
_cell_length_c 7.211
_cell_angle_alpha 90.00
_cell_angle_beta 90.00
_cell_angle_gamma 90.00
loop_
_atom_site_label
_atom_site_fract_x
_atom_site_fract_y
_atom_site_fract_z
_atom_site_occupancy
Ho1 0.000 0.000 0.229 1
Zn1 0.500 0.500 0.500 1
Os1 0.500 0.500 0.000 1

# ThMg3Ag4 | Alexandria via LeMat-Bulk | PBE | relaxed
# - magnetization (μB/cell) = 0.00
# - energy of formation from the pure elements (kJ/mol of formula units) = -118
data_ThMg3Ag4
_symmetry_space_group_name_H-M 'R -3 m'
_symmetry_Int_Tables_number 166
_symmetry_space_group_name_Hall '-R 3 2"'
_cell_length_a 4.7098
_cell_length_b 4.7098
_cell_length_c 26.4150
_cell_angle_alpha 90.00
_cell_angle_beta 90.00
_cell_angle_gamma 120.00
loop_
_atom_site_label
_atom_site_fract_x
_atom_site_fract_y
_atom_site_fract_z
_atom_site_occupancy
Th1 0.0000 0.0000 0.0000 1
Mg1 0.0000 0.0000 0.2418 1
Mg2 0.0000 0.0000 0.5000 1
Ag1 0.0000 0.0000 0.1273 1
Ag2 0.0000 0.0000 0.3945 1

# Zr2NiW | Alexandria via LeMat-Bulk | PBE | relaxed
# - offset from the most stable computed form (meV/atom) = 203
# - magnetization (μB/cell) = 0.00
# - energy of formation from the pure elements (kJ/mol of formula units) = 33
data_Zr2NiW
_symmetry_space_group_name_H-M 'P 4 m m'
_symmetry_Int_Tables_number 99
_symmetry_space_group_name_Hall 'P 4 -2'
_cell_length_a 2.879
_cell_length_b 2.879
_cell_length_c 8.664
_cell_angle_alpha 90.00
_cell_angle_beta 90.00
_cell_angle_gamma 90.00
loop_
_atom_site_label
_atom_site_fract_x
_atom_site_fract_y
_atom_site_fract_z
_atom_site_occupancy
Zr1 0.000 0.000 0.000 1
Zr2 0.500 0.500 0.319 1
Ni1 0.000 0.000 0.546 1
W1 0.500 0.500 0.733 1

# BeSeN2F | Alexandria via LeMat-Bulk | PBE | relaxed
# - raw formation energy (eV per atom) = 0.97
# - offset from the most stable computed form (meV/atom) = 437
# - magnetization (μB/cell) = 1.21
data_BeSeN2F
_symmetry_space_group_name_H-M 'P 4/m m m'
_symmetry_Int_Tables_number 123
_symmetry_space_group_name_Hall '-P 4 2'
_cell_length_a 3.314
_cell_length_b 3.314
_cell_length_c 5.467
_cell_angle_alpha 90.00
_cell_angle_beta 90.00
_cell_angle_gamma 90.00
loop_
_atom_site_label
_atom_site_fract_x
_atom_site_fract_y
_atom_site_fract_z
_atom_site_occupancy
Be1 0.000 0.000 0.000 1
Se1 0.000 0.000 0.500 1
N1 0.000 0.500 0.000 1
F1 0.500 0.500 0.500 1

# La8DyTm3 | Alexandria via LeMat-Bulk | PBE | relaxed
# - magnetization (μB/cell) = 0.00
# - energy of formation from the pure elements (kJ/mol of formula units) = 616
data_La8DyTm3
_symmetry_space_group_name_H-M 'I -4 2 m'
_symmetry_Int_Tables_number 121
_symmetry_space_group_name_Hall 'I -4 2'
_cell_length_a 8.838
_cell_length_b 8.838
_cell_length_c 11.746
_cell_angle_alpha 90.00
_cell_angle_beta 90.00
_cell_angle_gamma 90.00
loop_
_atom_site_label
_atom_site_fract_x
_atom_site_fract_y
_atom_site_fract_z
_atom_site_occupancy
La1 0.123 0.123 0.250 1
La2 0.250 0.250 0.001 1
Dy1 0.000 0.000 0.000 1
Tm1 0.000 0.000 0.500 1
Tm2 0.000 0.500 0.250 1

# SmZrGa2 | Alexandria via LeMat-Bulk | PBE | relaxed
# - offset from the most stable computed form (meV/atom) = 5
# - magnetization (μB/cell) = 0.30
# - energy of formation from the pure elements (kJ/mol of formula units) = -188
data_SmZrGa2
_symmetry_space_group_name_H-M 'P 4/m m m'
_symmetry_Int_Tables_number 123
_symmetry_space_group_name_Hall '-P 4 2'
_cell_length_a 3.632
_cell_length_b 3.632
_cell_length_c 6.541
_cell_angle_alpha 90.00
_cell_angle_beta 90.00
_cell_angle_gamma 90.00
loop_
_atom_site_label
_atom_site_fract_x
_atom_site_fract_y
_atom_site_fract_z
_atom_site_occupancy
Sm1 0.000 0.000 0.000 1
Zr1 0.000 0.000 0.500 1
Ga1 0.500 0.500 0.286 1

# Dy2PuS3 | Alexandria via LeMat-Bulk | PBE | relaxed
# - raw formation energy (eV per atom) = -1.95
# - magnetization (μB/cell) = 11.61
data_Dy2PuS3
_symmetry_space_group_name_H-M 'I m m m'
_symmetry_Int_Tables_number 71
_symmetry_space_group_name_Hall '-I 2 2'
_cell_length_a 3.915
_cell_length_b 5.534
_cell_length_c 11.798
_cell_angle_alpha 90.00
_cell_angle_beta 90.00
_cell_angle_gamma 90.00
loop_
_atom_site_label
_atom_site_fract_x
_atom_site_fract_y
_atom_site_fract_z
_atom_site_occupancy
Dy1 0.000 0.000 0.167 1
Pu1 0.000 0.000 0.500 1
S1 0.000 0.500 0.168 1
S2 0.000 0.500 0.500 1

# Ca4Ag3F12 | Alexandria via LeMat-Bulk | PBE | relaxed
# - raw formation energy (eV per atom) = -2.84
# - magnetization (μB/cell) = 2.15
data_Ca4Ag3F12
_symmetry_space_group_name_H-M 'I m -3'
_symmetry_Int_Tables_number 204
_symmetry_space_group_name_Hall '-I 2 2 3'
_cell_length_a 8.620
_cell_length_b 8.620
_cell_length_c 8.620
_cell_angle_alpha 90.00
_cell_angle_beta 90.00
_cell_angle_gamma 90.00
loop_
_atom_site_label
_atom_site_fract_x
_atom_site_fract_y
_atom_site_fract_z
_atom_site_occupancy
Ca1 0.250 0.250 0.250 1
Ag1 0.000 0.000 0.500 1
F1 0.000 0.190 0.314 1

# TcAg2N2 | Alexandria via LeMat-Bulk | PBE | relaxed
# - raw formation energy (eV per atom) = 1.97
# - offset from the most stable computed form (meV/atom) = 303
# - magnetization (μB/cell) = 0.00
data_TcAg2N2
_symmetry_space_group_name_H-M 'P 4/m b m'
_symmetry_Int_Tables_number 127
_symmetry_space_group_name_Hall '-P 4 2ab'
_cell_length_a 6.867
_cell_length_b 6.867
_cell_length_c 2.771
_cell_angle_alpha 90.00
_cell_angle_beta 90.00
_cell_angle_gamma 90.00
loop_
_atom_site_label
_atom_site_fract_x
_atom_site_fract_y
_atom_site_fract_z
_atom_site_occupancy
Tc1 0.000 0.000 0.000 1
Ag1 0.135 0.365 0.000 1
N1 0.180 0.680 0.500 1